(1)
Material: YPuTlRu
Method: DFT, GGA-PBE
State: optimized geometry

Results
calculated formation energy = -0.024 eV/atom
size of the total moment = 5.16 μB per formula unit

Unit cell a=7.213 b=7.213 c=7.213 alpha=90.00 beta=90.00 gamma=90.00
Space group F-43m (No. 216)
Symmetry-distinct sites (fractional):
Y (0.000, 0.000, 0.000) x4
Pu (0.000, 0.000, 0.500) x4
Tl (0.250, 0.250, 0.250) x4
Ru (0.250, 0.250, 0.750) x4

=====

(2)
Material: YPuTlRu
Method: DFT, GGA-PBE
State: optimized geometry

Results
calculated formation energy = -0.237 eV/atom
size of the total moment = 4.65 μB per formula unit

Unit cell a=3.353 b=3.353 c=8.400 alpha=90.00 beta=90.00 gamma=90.00
Space group P4mm (No. 99)
Symmetry-distinct sites (fractional):
Y (0.000, 0.000, 0.000) x1
Pu (0.000, 0.000, 0.590) x1
Tl (0.500, 0.500, 0.294) x1
Ru (0.500, 0.500, 0.790) x1

=====

(3)
Material: TmPu2Ru3
Method: DFT, GGA-PBE
State: optimized geometry

Results
calculated formation energy = -0.253 eV/atom
size of the total moment = 8.46 μB per formula unit

Unit cell a=3.356 b=3.356 c=10.225 alpha=90.00 beta=90.00 gamma=90.00
Space group P4/mmm (No. 123)
Symmetry-distinct sites (fractional):
Tm (0.000, 0.000, 0.000) x1
Pu (0.000, 0.000, 0.333) x2
Ru (0.500, 0.500, 0.173) x2
Ru (0.500, 0.500, 0.500) x1

=====

(4)
Material: TmPu2Ru
Method: DFT, GGA-PBE
State: optimized geometry

Results
calculated formation energy = 0.261 eV/atom
size of the total moment = 10.80 μB per formula unit

Unit cell a=3.3264 b=3.3264 c=31.2056 alpha=90.00 beta=90.00 gamma=120.00
Space group R-3m (No. 166, hexagonal axes)
Symmetry-distinct sites (fractional):
Tm (0.0000, 0.0000, 0.0000) x3
Pu (0.0000, 0.0000, 0.1008) x6
Ru (0.0000, 0.0000, 0.5000) x3

=====

(5)
Material: Tm2PuRu2
Method: DFT, GGA-PBE
State: optimized geometry

Results
calculated formation energy = -0.160 eV/atom
size of the total moment = 1.50 μB per formula unit

Unit cell a=10.233 b=5.169 c=8.937 alpha=90.00 beta=121.88 gamma=90.00
Space group C2/m (No. 12)
Symmetry-distinct sites (fractional):
Tm (0.007, 0.000, 0.188) x4
Tm (0.127, 0.500, 0.453) x4
Pu (0.129, 0.500, 0.046) x4
Ru (0.144, 0.000, 0.627) x4
Ru (0.206, 0.500, 0.824) x4

=====

(6)
Material: TmPu2Ru3
Method: DFT, GGA-PBE
State: optimized geometry

Results
calculated formation energy = 0.180 eV/atom
size of the total moment = 0.00 μB per formula unit

Unit cell a=5.147 b=13.658 c=3.150 alpha=90.00 beta=90.00 gamma=90.00
Space group Cmmm (No. 65)
Symmetry-distinct sites (fractional):
Tm (0.000, 0.000, 0.000) x2
Pu (0.000, 0.338, 0.000) x4
Ru (0.000, 0.192, 0.500) x4
Ru (0.000, 0.500, 0.500) x2

=====

(7)
Material: Tm2PuRu2
Method: DFT, GGA-PBE
State: optimized geometry

Results
calculated formation energy = -0.400 eV/atom
size of the total moment = 4.15 μB per formula unit

Unit cell a=10.031 b=5.700 c=7.752 alpha=90.00 beta=102.10 gamma=90.00
Space group C2/c (No. 15)
Symmetry-distinct sites (fractional):
Tm (0.152, 0.134, 0.151) x8
Pu (0.000, 0.361, 0.750) x4
Ru (0.132, 0.359, 0.508) x8

=====

(8)
Material: TmPu3Ru4
Method: DFT, GGA-PBE
State: optimized geometry

Results
calculated formation energy = -0.233 eV/atom
size of the total moment = 12.81 μB per formula unit

Unit cell a=4.767 b=4.767 c=13.504 alpha=90.00 beta=90.00 gamma=90.00
Space group I4/mmm (No. 139)
Symmetry-distinct sites (fractional):
Tm (0.000, 0.000, 0.000) x2
Pu (0.000, 0.000, 0.249) x4
Pu (0.000, 0.000, 0.500) x2
Ru (0.000, 0.500, 0.127) x8

=====

(9)
Material: TmPuRu4
Method: DFT, GGA-PBE
State: optimized geometry

Results
calculated formation energy = -0.236 eV/atom
size of the total moment = 3.26 μB per formula unit

Unit cell a=7.512 b=7.512 c=7.512 alpha=90.00 beta=90.00 gamma=90.00
Space group F-43m (No. 216)
Symmetry-distinct sites (fractional):
Tm (0.000, 0.000, 0.000) x4
Pu (0.250, 0.250, 0.750) x4
Ru (0.125, 0.125, 0.375) x16

=====

(10)
Material: TmPu2Ru
Method: DFT, GGA-PBE
State: optimized geometry

Results
calculated formation energy = 0.002 eV/atom
size of the total moment = 11.00 μB per formula unit

Unit cell a=3.332 b=3.332 c=8.663 alpha=90.00 beta=90.00 gamma=90.00
Space group P4/mmm (No. 123)
Symmetry-distinct sites (fractional):
Tm (0.000, 0.000, 0.000) x1
Pu (0.500, 0.500, 0.301) x2
Ru (0.000, 0.000, 0.500) x1

=====

(11)
Material: Tm5PuRu6
Method: DFT, GGA-PBE
State: optimized geometry

Results
calculated formation energy = -0.414 eV/atom
size of the total moment = 2.98 μB per formula unit

Unit cell a=4.742 b=14.218 c=6.722 alpha=90.00 beta=90.00 gamma=90.00
Space group Cmmm (No. 65)
Symmetry-distinct sites (fractional):
Tm (0.000, 0.000, 0.000) x2
Tm (0.000, 0.330, 0.500) x4
Tm (0.000, 0.333, 0.000) x4
Pu (0.000, 0.000, 0.500) x2
Ru (0.000, 0.160, 0.258) x8
Ru (0.000, 0.500, 0.263) x4

=====

(12)
Material: Pu2U2Ru3
Method: DFT, GGA-PBE
State: optimized geometry

Results
calculated formation energy = -0.178 eV/atom
size of the total moment = 10.40 μB per formula unit

Unit cell a=3.263 b=3.525 c=12.001 alpha=87.93 beta=82.22 gamma=89.94
Space group P-1 (No. 2)
Symmetry-distinct sites (fractional):
Pu (0.070, 0.027, 0.359) x2
U (0.214, 0.174, 0.071) x2
Ru (0.349, 0.428, 0.802) x2
Ru (0.500, 0.500, 0.500) x1

=====

(13)
Material: Pu2URu2
Method: DFT, GGA-PBE
State: optimized geometry

Results
calculated formation energy = -0.112 eV/atom
size of the total moment = 12.76 μB per formula unit

Unit cell a=4.192 b=5.573 c=9.525 alpha=90.00 beta=90.00 gamma=90.00
Space group Immm (No. 71)
Symmetry-distinct sites (fractional):
Pu (0.000, 0.000, 0.202) x4
U (0.000, 0.500, 0.000) x2
Ru (0.000, 0.256, 0.500) x4

=====

(14)
Material: Pu2URu3
Method: DFT, GGA-PBE
State: optimized geometry

Results
calculated formation energy = 0.005 eV/atom
size of the total moment = 10.27 μB per formula unit

Unit cell a=4.714 b=5.340 c=9.568 alpha=90.00 beta=90.00 gamma=90.00
Space group Immm (No. 71)
Symmetry-distinct sites (fractional):
Pu (0.000, 0.000, 0.171) x4
U (0.000, 0.000, 0.500) x2
Ru (0.000, 0.500, 0.153) x4
Ru (0.000, 0.500, 0.500) x2

=====

(15)
Material: Pu2URu
Method: DFT, GGA-PBE
State: optimized geometry

Results
calculated formation energy = 0.093 eV/atom
size of the total moment = 8.07 μB per formula unit

Unit cell a=5.000 b=5.000 c=3.104 alpha=90.00 beta=90.00 gamma=90.00
Space group P4/mmm (No. 123)
Symmetry-distinct sites (fractional):
Pu (0.000, 0.500, 0.000) x2
U (0.000, 0.000, 0.500) x1
Ru (0.500, 0.500, 0.500) x1

=====

(16)
Material: PuURu4
Method: DFT, GGA-PBE
State: optimized geometry

Results
calculated formation energy = -0.112 eV/atom
size of the total moment = 5.56 μB per formula unit

Unit cell a=7.485 b=7.485 c=7.485 alpha=90.00 beta=90.00 gamma=90.00
Space group F-43m (No. 216)
Symmetry-distinct sites (fractional):
Pu (0.000, 0.000, 0.000) x4
U (0.250, 0.250, 0.750) x4
Ru (0.125, 0.125, 0.375) x16

=====

(17)
Material: Pu6URu5
Method: DFT, GGA-PBE
State: optimized geometry

Results
calculated formation energy = -0.063 eV/atom
size of the total moment = 8.57 μB per formula unit

Unit cell a=5.344 b=5.922 c=7.636 alpha=81.84 beta=85.85 gamma=74.12
Space group P-1 (No. 2)
Symmetry-distinct sites (fractional):
Pu (0.011, 0.253, 0.492) x2
Pu (0.248, 0.450, 0.148) x2
Pu (0.256, 0.939, 0.142) x2
U (0.500, 0.000, 0.500) x1
Ru (0.248, 0.815, 0.800) x2
Ru (0.259, 0.309, 0.804) x2
Ru (0.500, 0.500, 0.500) x1

=====

(18)
Material: PuURu4
Method: DFT, GGA-PBE
State: optimized geometry

Results
calculated formation energy = -0.056 eV/atom
size of the total moment = 2.64 μB per formula unit

Unit cell a=10.394 b=3.321 c=5.966 alpha=90.00 beta=90.85 gamma=90.00
Space group C2/m (No. 12)
Symmetry-distinct sites (fractional):
Pu (0.000, 0.000, 0.000) x2
U (0.000, 0.000, 0.500) x2
Ru (0.163, 0.500, 0.376) x4
Ru (0.168, 0.500, 0.870) x4

=====

(19)
Material: Pu2URu
Method: DFT, GGA-PBE
State: optimized geometry

Results
calculated formation energy = 0.086 eV/atom
size of the total moment = 10.77 μB per formula unit

Unit cell a=4.330 b=9.474 c=8.443 alpha=90.00 beta=90.00 gamma=90.00
Space group Cmcm (No. 63)
Symmetry-distinct sites (fractional):
Pu (0.000, 0.144, 0.087) x8
U (0.000, 0.494, 0.250) x4
Ru (0.000, 0.165, 0.750) x4

=====

(20)
Material: Pu5URu4
Method: DFT, GGA-PBE
State: optimized geometry

Results
calculated formation energy = -0.065 eV/atom
size of the total moment = 26.66 μB per formula unit

Unit cell a=14.997 b=4.401 c=6.853 alpha=90.00 beta=101.78 gamma=90.00
Space group C2/m (No. 12)
Symmetry-distinct sites (fractional):
Pu (0.000, 0.000, 0.000) x2
Pu (0.163, 0.500, 0.066) x4
Pu (0.187, 0.500, 0.554) x4
U (0.000, 0.000, 0.500) x2
Ru (0.008, 0.500, 0.716) x4
Ru (0.156, 0.000, 0.781) x4

=====

(21)
Material: Pu2URu
Method: DFT, GGA-PBE
State: optimized geometry

Results
calculated formation energy = 0.026 eV/atom
size of the total moment = 9.18 μB per formula unit

Unit cell a=3.379 b=3.379 c=6.993 alpha=90.00 beta=90.00 gamma=90.00
Space group P4/mmm (No. 123)
Symmetry-distinct sites (fractional):
Pu (0.000, 0.000, 0.234) x2
U (0.500, 0.500, 0.500) x1
Ru (0.500, 0.500, 0.000) x1

=====

(22)
Material: PuURu
Method: DFT, GGA-PBE
State: optimized geometry

Results
calculated formation energy = -0.132 eV/atom
size of the total moment = 4.62 μB per formula unit

Unit cell a=4.6126 b=4.6126 c=3.0327 alpha=90.00 beta=90.00 gamma=120.00
Space group P3m1 (No. 156)
Symmetry-distinct sites (fractional):
Pu (0.0000, 0.0000, 0.0000) x1
U (0.3333, 0.6667, 0.2641) x1
Ru (0.6667, 0.3333, 0.5961) x1

=====

(23)
Material: PuURu4
Method: DFT, GGA-PBE
State: optimized geometry

Results
calculated formation energy = -0.042 eV/atom
size of the total moment = 4.02 μB per formula unit

Unit cell a=7.902 b=3.893 c=6.842 alpha=90.00 beta=90.00 gamma=90.00
Space group Pmma (No. 51)
Symmetry-distinct sites (fractional):
Pu (0.250, 0.000, 0.137) x2
U (0.250, 0.000, 0.740) x2
Ru (0.000, 0.000, 0.500) x2
Ru (0.028, 0.500, 0.811) x4
Ru (0.250, 0.500, 0.435) x2

=====

(24)
Material: Pu2URu2
Method: DFT, GGA-PBE
State: optimized geometry

Results
calculated formation energy = 0.129 eV/atom
size of the total moment = 2.58 μB per formula unit

Unit cell a=4.404 b=7.241 c=5.908 alpha=90.00 beta=90.00 gamma=90.00
Space group Cmmm (No. 65)
Symmetry-distinct sites (fractional):
Pu (0.000, 0.178, 0.000) x4
U (0.000, 0.000, 0.500) x2
Ru (0.000, 0.500, 0.267) x4

=====

(25)
Material: Pu2U4Ru3
Method: DFT, GGA-PBE
State: optimized geometry

Results
calculated formation energy = -0.173 eV/atom
size of the total moment = 0.00 μB per formula unit

Unit cell a=9.998 b=4.584 c=8.394 alpha=90.00 beta=125.07 gamma=90.00
Space group C2/m (No. 12)
Symmetry-distinct sites (fractional):
Pu (0.146, 0.000, 0.307) x4
U (0.067, 0.500, 0.386) x4
U (0.156, 0.000, 0.998) x4
Ru (0.000, 0.500, 0.000) x2
Ru (0.158, 0.000, 0.682) x4

=====

(26)
Material: Pu2URu
Method: DFT, GGA-PBE
State: optimized geometry

Results
calculated formation energy = 0.080 eV/atom
size of the total moment = 10.29 μB per formula unit

Unit cell a=6.812 b=6.812 c=6.812 alpha=90.00 beta=90.00 gamma=90.00
Space group Fm-3m (No. 225)
Symmetry-distinct sites (fractional):
Pu (0.250, 0.250, 0.250) x8
U (0.000, 0.000, 0.000) x4
Ru (0.000, 0.000, 0.500) x4